[1]
Computed, not measured: crystalline RbHg6Au at its relaxed geometry at the PBE level of DFT.

The value obtained for the formation enthalpy at 0 K is -9 kJ/mol of atoms.

The structure belongs to space group C2/m (No. 12); the cell edges are 7.249, 11.188 and 6.626 Å and the angles 90.00°, 113.02° and 90.00°. Symmetry generates all atoms from Rb at (0.000, 0.000, 0.000), Hg at (0.056, 0.500, 0.282), Hg at (0.190, 0.240, 0.732) and Au at (0.000, 0.000, 0.500).

[2]
Computed, not measured: crystalline SrAcPdRh at its relaxed geometry at the PBE level of DFT.

The value obtained for the formation enthalpy at 0 K is -59 kJ/mol of atoms. The calculation puts the polymorph energy (0 for the lowest one) at 0 meV per atom.

The structure belongs to space group Amm2 (No. 38); the cell edges are 4.357, 4.178 and 11.762 Å and the angles 90.00°, 90.00° and 90.00°. Symmetry generates all atoms from Sr at (0.000, 0.000, 0.000), Ac at (0.500, 0.000, 0.723), Pd at (0.500, 0.000, 0.434) and Rh at (0.000, 0.000, 0.277).

[3]
Computed, not measured: crystalline CsLi2AgSn at its relaxed geometry at the PBE level of DFT.

The value obtained for the formation enthalpy at 0 K is -13 kJ/mol of atoms.

The structure belongs to space group P4/mmm (No. 123); the cell edges are 5.469, 5.469 and 5.408 Å and the angles 90.00°, 90.00° and 90.00°. Symmetry generates all atoms from Cs at (0.000, 0.000, 0.000), Li at (0.000, 0.500, 0.500), Ag at (0.500, 0.500, 0.000) and Sn at (0.500, 0.500, 0.500).

[4]
Computed, not measured: crystalline La2MgFeAu at its relaxed geometry at the PBE level of DFT.

The value obtained for the formation enthalpy at 0 K is -17 kJ/mol of atoms.

The structure belongs to space group P4/mmm (No. 123); the cell edges are 5.081, 5.081 and 4.996 Å and the angles 90.00°, 90.00° and 90.00°. Symmetry generates all atoms from La at (0.000, 0.500, 0.000), Mg at (0.000, 0.000, 0.500), Fe at (0.000, 0.000, 0.000) and Au at (0.500, 0.500, 0.500).

[5]
Computed, not measured: crystalline Re2RuSe at its relaxed geometry at the PBE level of DFT.

The calculation puts the polymorph energy (0 for the lowest one) at 214 meV per atom. The formation energy from raw total energies is 0.4628 eV per atom.

The structure belongs to space group P2/m (No. 10); the cell edges are 2.864, 4.084 and 5.310 Å and the angles 90.00°, 104.36° and 90.00°. Symmetry generates all atoms from Re at (0.129, 0.000, 0.253), Ru at (0.500, 0.500, 0.000) and Se at (0.500, 0.500, 0.500).

[6]
Computed, not measured: crystalline CaTbHgAu at its relaxed geometry at the PBE level of DFT.

The value obtained for the formation enthalpy at 0 K is -63 kJ/mol of atoms.

The structure belongs to space group F-43m (No. 216); the cell edges are 7.355, 7.355 and 7.355 Å and the angles 90.00°, 90.00° and 90.00°. Symmetry generates all atoms from Ca at (0.000, 0.000, 0.000), Tb at (0.000, 0.000, 0.500), Hg at (0.250, 0.250, 0.250) and Au at (0.250, 0.250, 0.750).

[7]
Computed, not measured: crystalline ZnCu2Si at its relaxed geometry at the PBE level of DFT.

The formation energy from raw total energies is 0.0401 eV per atom.

The structure belongs to space group I4/mmm (No. 139); the cell edges are 3.787, 3.787 and 7.241 Å and the angles 90.00°, 90.00° and 90.00°. Symmetry generates all atoms from Zn at (0.000, 0.000, 0.000), Cu at (0.000, 0.500, 0.250) and Si at (0.000, 0.000, 0.500).

[8]
Computed, not measured: crystalline Na2CaGaBi2 at its relaxed geometry at the PBE level of DFT.

The value obtained for the formation enthalpy at 0 K is -41 kJ/mol of atoms.

The structure belongs to space group Pmc2_1 (No. 26); the cell edges are 5.306, 8.862 and 7.652 Å and the angles 90.00°, 90.00° and 90.00°. Symmetry generates all atoms from Na at (0.000, 0.072, 0.000), Na at (0.500, 0.154, 0.317), Ca at (0.500, 0.478, 0.012), Ga at (0.000, 0.311, 0.663), Bi at (0.000, 0.365, 0.275) and Bi at (0.500, 0.195, 0.740).

[9]
Computed, not measured: crystalline RbSrN3 at its relaxed geometry at the PBE level of DFT.

The formation energy from raw total energies is 1.4881 eV per atom.

The structure belongs to space group Pm-3m (No. 221); the cell edges are 4.947, 4.947 and 4.947 Å and the angles 90.00°, 90.00° and 90.00°. Symmetry generates all atoms from Rb at (0.000, 0.000, 0.000), Sr at (0.500, 0.500, 0.500) and N at (0.000, 0.500, 0.500).

[10]
Computed, not measured: crystalline Sm2PaSnO8 at its relaxed geometry at the PBE level of DFT.

The formation energy from raw total energies is -2.8158 eV per atom.

The structure belongs to space group P2/m (No. 10); the cell edges are 5.489, 3.763 and 7.952 Å and the angles 90.00°, 95.48° and 90.00°. Symmetry generates all atoms from Sm at (0.017, 0.000, 0.252), Pa at (0.500, 0.500, 0.000), Sn at (0.500, 0.500, 0.500), O at (0.224, 0.500, 0.785), O at (0.267, 0.000, 0.021), O at (0.271, 0.000, 0.524) and O at (0.304, 0.500, 0.269).

[11]
Computed, not measured: crystalline ScCuRh at its relaxed geometry at the PBE level of DFT.

The value obtained for the formation enthalpy at 0 K is -15 kJ/mol of atoms. The calculation puts the polymorph energy (0 for the lowest one) at 354 meV per atom.

The structure belongs to space group P3m1 (No. 156); the cell edges are 3.1024, 3.1024 and 5.9909 Å and the angles 90.00°, 90.00° and 120.00°. Symmetry generates all atoms from Sc at (0.0000, 0.0000, 0.0000), Cu at (0.6667, 0.3333, 0.3528) and Rh at (0.3333, 0.6667, 0.6826).

[12]
Computed, not measured: crystalline PrAgHg3 at its relaxed geometry at the PBE level of DFT.

The value obtained for the formation enthalpy at 0 K is -25 kJ/mol of atoms.

The structure belongs to space group P2_1/m (No. 11); the cell edges are 5.180, 5.257 and 9.316 Å and the angles 90.00°, 105.92° and 90.00°. Symmetry generates all atoms from Pr at (0.149, 0.250, 0.301), Ag at (0.343, 0.250, 0.688), Hg at (0.049, 0.750, 0.099), Hg at (0.250, 0.750, 0.497) and Hg at (0.453, 0.750, 0.903).

[13]
Computed, not measured: crystalline CePdRh4 at its relaxed geometry at the PBE level of DFT.

The value obtained for the formation enthalpy at 0 K is -31 kJ/mol of atoms.

The structure belongs to space group F-43m (No. 216); the cell edges are 7.417, 7.417 and 7.417 Å and the angles 90.00°, 90.00° and 90.00°. Symmetry generates all atoms from Ce at (0.000, 0.000, 0.000), Pd at (0.250, 0.250, 0.250) and Rh at (0.124, 0.124, 0.624).